# 1
Mg8Cd3Pb after structural relaxation, computed with GGA-PBE.

Values from the calculation:
Calculated formation energy ... 20 meV per atom
V ... 314.2 Å³/f.u.
N(E_F) ... 5.267 states/eV/cell
Total magnetization ... 0.000 Bohr magnetons per cell

Unit cell a=8.3252 b=8.3196 c=6.8013 alpha=65.93 beta=65.84 gamma=48.24
With the nearest neighbours (Å) after each atom.
Sites, in units of the cell vectors:
Mg (0.1167, 0.6294, 0.3706)  3 Cd 2.91-2.93, 1 Pb 3.01
Mg (0.1170, 0.6297, 0.8830)  3 Cd 2.91-2.93, 1 Pb 3.00
Mg (0.3703, 0.8830, 0.6297)  3 Cd 2.91-2.93, 1 Pb 3.00
Mg (0.3706, 0.8833, 0.1167)  3 Cd 2.91-2.93, 1 Pb 3.01
Mg (0.6294, 0.1167, 0.8833)  3 Cd 2.91-2.93, 1 Pb 3.01
Mg (0.6297, 0.1170, 0.3703)  3 Cd 2.91-2.93, 1 Pb 3.00
Mg (0.8830, 0.3703, 0.1170)  3 Cd 2.91-2.93, 1 Pb 3.00
Mg (0.8833, 0.3706, 0.6294)  3 Cd 2.91-2.93, 1 Pb 3.01
Cd (0.0000, 0.0000, 0.0000)  8 Mg 2.91
Cd (0.2500, 0.2500, 0.2500)  8 Mg 2.93
Cd (0.7500, 0.7500, 0.7500)  8 Mg 2.93
Pb (0.5000, 0.5000, 0.5000)  8 Mg 3.00-3.01



# 2
Mg2CdPb after structural relaxation, computed with GGA-PBE.

Values from the calculation:
Calculated formation energy ... -26 meV per atom
V ... 98.4 Å³/f.u.
N(E_F) ... 3.103 states/eV/cell
Total magnetization ... 0.000 Bohr magnetons per cell

Unit cell a=3.6126 b=5.0761 c=10.7322 alpha=90.00 beta=90.00 gamma=90.00
With the nearest neighbours (Å) after each atom.
Sites, in units of the cell vectors:
Mg (0.0000, 0.0000, 0.0000)  4 Cd 3.12, 2 Mg 3.27, 2 Pb 3.33
Mg (0.0000, 0.5000, 0.2462)  2 Cd 3.06, 4 Pb 3.12, 2 Mg 3.27
Mg (0.5000, 0.0000, 0.7462)  2 Cd 3.06, 4 Pb 3.12, 2 Mg 3.27
Mg (0.5000, 0.5000, 0.5000)  4 Cd 3.12, 2 Mg 3.27, 2 Pb 3.33
Cd (0.0000, 0.0000, 0.5158)  6 Mg 3.06-3.12, 2 Pb 3.28
Cd (0.5000, 0.5000, 0.0158)  6 Mg 3.06-3.12, 2 Pb 3.28
Pb (0.0000, 0.5000, 0.7603)  6 Mg 3.12-3.33, 2 Cd 3.28
Pb (0.5000, 0.0000, 0.2603)  6 Mg 3.12-3.33, 2 Cd 3.28